First-principles (PBE) data for Cs2Cd3Hg2Bi2 after structural relaxation, as listed in Alexandria via LeMat-Bulk.

It has space group I4/mmm (No. 139), with a = 5.581 Å, b = 5.581 Å, c = 20.652 Å, α = 90.00°, β = 90.00° and γ = 90.00°. The inequivalent atoms are Cs at (0.000, 0.000, 0.124), Cd at (0.000, 0.000, 0.500), Cd at (0.000, 0.500, 0.250), Hg at (0.000, 0.500, 0.000) and Bi at (0.000, 0.000, 0.328).

The calculation puts the formation energy at -0.162 eV per atom. For the density of states at the Fermi level, the calculation gives 0.342 states/eV/atom. The magnetic moment comes out at 0.00 Bohr magnetons per cell.